Entry 1:
This record from Alexandria describes a relaxed KPt4 crystal. The functional is PBE-GGA.

a = 4.956 Å, b = 4.967 Å, c = 4.917 Å
α = 100.98°, β = 100.82°, γ = 118.05°
Fractional coordinates of all 5 atoms:
Pt1 0.753 0.438 0.286
Pt2 0.247 0.562 0.714
Pt3 0.564 0.248 0.714
Pt4 0.436 0.752 0.286
K1 0.000 0.000 0.000

## Properties
The formation energy from the elements is 0.28 eV per atom. As for the energy above the lowest structure with this stoichiometry: 0.0883 eV/atom.

=====

Entry 2:
This record from Alexandria describes a relaxed K4Pt crystal. The functional is PBE-GGA.

a = 8.006 Å, b = 8.006 Å, c = 8.006 Å
α = 93.80°, β = 93.80°, γ = 150.17°
Fractional coordinates of all 5 atoms:
K1 0.455 0.731 0.186
K2 0.545 0.269 0.814
K3 0.269 0.455 0.724
K4 0.731 0.545 0.276
Pt1 0.000 0.000 0.000

## Properties
The formation energy from the elements is 0.03 eV per atom. As for the energy above the lowest structure with this stoichiometry: 0.0000 eV/atom.

=====

Entry 3:
This record from Alexandria describes a relaxed K7Pt crystal. The functional is PBE-GGA.

a = 8.342 Å, b = 8.342 Å, c = 8.342 Å
α = 60.00°, β = 60.00°, γ = 60.00°
Fractional coordinates of all 8 atoms:
K1 0.000 0.000 0.500
K2 0.000 0.500 0.000
K3 0.500 0.000 0.500
K4 0.500 0.000 0.000
K5 0.000 0.500 0.500
K6 0.500 0.500 0.500
K7 0.500 0.500 0.000
Pt1 0.000 0.000 0.000

## Properties
The formation energy from the elements is 0.22 eV per atom.

=====

Entry 4:
This record from Alexandria describes a relaxed K2Pt crystal. The functional is PBE-GGA.

a = 5.062 Å, b = 5.063 Å, c = 4.678 Å
α = 89.98°, β = 90.00°, γ = 120.00°
Fractional coordinates of all 3 atoms:
K1 0.333 0.667 0.722
K2 0.667 0.333 0.278
Pt1 0.000 0.000 0.000

## Properties
The formation energy from the elements is 0.12 eV per atom.

=====

Entry 5:
This record from Alexandria describes a relaxed K6Pt7 crystal. The functional is PBE-GGA.

a = 10.897 Å, b = 10.897 Å, c = 10.897 Å
α = 30.30°, β = 30.30°, γ = 30.30°
Fractional coordinates of all 13 atoms:
K1 0.053 0.053 0.053
K2 0.850 0.850 0.850
K3 0.947 0.947 0.947
K4 0.660 0.660 0.660
K5 0.150 0.150 0.150
K6 0.340 0.340 0.340
Pt1 0.400 0.400 0.911
Pt2 0.500 0.500 0.500
Pt3 0.600 0.600 0.089
Pt4 0.089 0.600 0.600
Pt5 0.600 0.089 0.600
Pt6 0.400 0.911 0.400
Pt7 0.911 0.400 0.400

## Properties
The formation energy from the elements is -0.05 eV per atom.

=====

Entry 6:
This record from Alexandria describes a relaxed KPt5 crystal. The functional is PBE-GGA.

a = 9.571 Å, b = 9.571 Å, c = 4.519 Å
α = 90.00°, β = 90.00°, γ = 163.60°
Fractional coordinates of all 6 atoms:
Pt1 0.322 0.678 0.000
Pt2 0.601 0.399 0.500
Pt3 0.856 0.144 0.500
Pt4 0.228 0.772 0.500
Pt5 0.671 0.329 0.000
K1 0.988 0.012 0.000

## Properties
The formation energy from the elements is 0.13 eV per atom.

=====

Entry 7:
This record from Alexandria describes a relaxed K2Pt crystal. The functional is PBE-GGA.

a = 8.177 Å, b = 8.177 Å, c = 5.388 Å
α = 90.00°, β = 90.00°, γ = 148.31°
Fractional coordinates of all 6 atoms:
K1 0.744 0.256 0.750
K2 0.256 0.744 0.250
K3 0.057 0.943 0.750
K4 0.943 0.057 0.250
Pt1 0.614 0.386 0.250
Pt2 0.386 0.614 0.750

## Properties
The formation energy from the elements is 0.09 eV per atom.

=====

Entry 8:
This record from Alexandria describes a relaxed KPt4 crystal. The functional is PBE-GGA.

a = 5.949 Å, b = 5.949 Å, c = 5.949 Å
α = 134.27°, β = 134.27°, γ = 66.67°
Fractional coordinates of all 5 atoms:
Pt1 0.750 0.250 0.500
Pt2 0.374 0.374 0.000
Pt3 0.250 0.750 0.500
Pt4 0.626 0.626 0.000
K1 0.000 0.000 0.000

## Properties
The formation energy from the elements is 0.19 eV per atom. As for the energy above the lowest structure with this stoichiometry: 0.0000 eV/atom.

=====

Entry 9:
This record from Alexandria describes a relaxed KPt5 crystal. The functional is PBE-GGA.

a = 6.981 Å, b = 6.981 Å, c = 6.668 Å
α = 77.09°, β = 77.09°, γ = 22.69°
Fractional coordinates of all 6 atoms:
Pt1 0.500 0.500 0.500
Pt2 0.161 0.161 0.528
Pt3 0.839 0.839 0.472
Pt4 0.264 0.264 0.832
Pt5 0.736 0.736 0.168
K1 0.500 0.500 0.000

## Properties
The formation energy from the elements is -0.01 eV per atom.

=====

Entry 10:
This record from Alexandria describes a relaxed K4Pt crystal. The functional is PBE-GGA.

a = 6.724 Å, b = 6.724 Å, c = 6.724 Å
α = 109.47°, β = 109.47°, γ = 109.47°
Fractional coordinates of all 5 atoms:
K1 0.500 0.000 0.000
K2 0.000 0.000 0.500
K3 0.500 0.500 0.500
K4 0.000 0.500 0.000
Pt1 0.000 0.000 0.000

## Properties
The formation energy from the elements is 0.05 eV per atom. As for the energy above the lowest structure with this stoichiometry: 0.0187 eV/atom.

=====

Entry 11:
This record from Alexandria describes a relaxed K2Pt crystal. The functional is PBE-GGA.

a = 14.891 Å, b = 14.891 Å, c = 14.891 Å
α = 164.59°, β = 164.59°, γ = 21.86°
Fractional coordinates of all 6 atoms:
K1 0.444 0.444 0.000
K2 0.194 0.694 0.500
K3 0.556 0.556 0.000
K4 0.306 0.806 0.500
Pt1 0.750 0.250 0.500
Pt2 0.000 0.000 0.000

## Properties
The formation energy from the elements is 0.16 eV per atom.

=====

Entry 12:
This record from Alexandria describes a relaxed K2Pt crystal. The functional is PBE-GGA.

a = 8.478 Å, b = 8.478 Å, c = 4.777 Å
α = 90.00°, β = 90.00°, γ = 120.00°
Last column: magnetic moment on the atom in μB.
Fractional coordinates of all 9 atoms:
K1 0.413 0.413 0.500  0.00
K2 0.258 0.000 0.000  0.00
K3 0.587 0.000 0.500  0.00
K4 0.000 0.587 0.500  0.00
K5 0.742 0.742 0.000  0.00
K6 0.000 0.258 0.000  0.00
Pt1 0.000 0.000 0.500  0.00
Pt2 0.333 0.667 0.000  -0.17
Pt3 0.667 0.333 0.000  -0.17

## Properties
The formation energy from the elements is 0.00 eV per atom.

=====

Entry 13:
This record from Alexandria describes a relaxed K4Pt crystal. The functional is PBE-GGA.

a = 5.961 Å, b = 9.094 Å, c = 9.093 Å
α = 90.00°, β = 90.00°, γ = 90.00°
Fractional coordinates of all 10 atoms:
Pt1 0.250 0.500 0.500
Pt2 0.750 0.500 0.500
K1 0.500 0.638 0.201
K2 0.000 0.362 0.201
K3 0.000 0.800 0.362
K4 0.500 0.800 0.638
K5 0.000 0.200 0.638
K6 0.500 0.200 0.362
K7 0.500 0.362 0.799
K8 0.000 0.638 0.799

## Properties
The formation energy from the elements is 0.04 eV per atom. As for the energy above the lowest structure with this stoichiometry: 0.0127 eV/atom.

=====

Entry 14:
This record from Alexandria describes a relaxed KPt5 crystal. The functional is PBE-GGA.

a = 6.689 Å, b = 6.689 Å, c = 3.866 Å
α = 90.00°, β = 90.00°, γ = 143.30°
Fractional coordinates of all 6 atoms:
Pt1 0.320 0.680 0.500
Pt2 0.165 0.835 0.000
Pt3 0.835 0.165 0.000
Pt4 0.680 0.320 0.500
Pt5 0.000 0.000 0.500
K1 0.500 0.500 0.000

## Properties
The formation energy from the elements is 0.31 eV per atom.

=====

Entry 15:
This record from Alexandria describes a relaxed KPt5 crystal. The functional is PBE-GGA.

a = 2.833 Å, b = 2.833 Å, c = 13.154 Å
α = 90.00°, β = 90.00°, γ = 90.00°
Fractional coordinates of all 6 atoms:
Pt1 0.000 0.000 0.203
Pt2 0.000 0.000 0.797
Pt3 0.000 0.000 0.500
Pt4 0.500 0.500 0.648
Pt5 0.500 0.500 0.352
K1 0.500 0.500 0.000

## Properties
The formation energy from the elements is 0.10 eV per atom.

=====

Entry 16:
This record from Alexandria describes a relaxed K7Pt6 crystal. The functional is PBE-GGA.

a = 12.607 Å, b = 12.607 Å, c = 12.607 Å
α = 28.73°, β = 28.73°, γ = 28.73°
Last column: magnetic moment on the atom in μB.
Fractional coordinates of all 13 atoms:
K1 0.570 0.066 0.570  0.00
K2 0.934 0.430 0.430  0.00
K3 0.066 0.570 0.570  0.00
K4 0.500 0.500 0.500  0.00
K5 0.430 0.934 0.430  0.00
K6 0.430 0.430 0.934  0.00
K7 0.570 0.570 0.066  0.00
Pt1 0.034 0.034 0.034  0.36
Pt2 0.895 0.895 0.895  0.20
Pt3 0.666 0.666 0.666  0.03
Pt4 0.105 0.105 0.105  0.20
Pt5 0.334 0.334 0.334  0.03
Pt6 0.966 0.966 0.966  0.36

## Properties
The formation energy from the elements is 0.51 eV per atom.

=====

Entry 17:
This record from Alexandria describes a relaxed K2Pt crystal. The functional is PBE-GGA.

a = 9.695 Å, b = 9.695 Å, c = 6.125 Å
α = 90.00°, β = 90.00°, γ = 150.31°
Last column: magnetic moment on the atom in μB.
Fractional coordinates of all 6 atoms:
Pt1 0.838 0.162 0.250  0.21
Pt2 0.162 0.838 0.750  0.21
K1 0.574 0.426 0.750  0.00
K2 0.782 0.218 0.750  0.00
K3 0.426 0.574 0.250  0.00
K4 0.218 0.782 0.250  0.00

## Properties
The formation energy from the elements is 0.16 eV per atom.

=====

Entry 18:
This record from Alexandria describes a relaxed KPt5 crystal. The functional is PBE-GGA.

a = 5.369 Å, b = 5.369 Å, c = 5.369 Å
α = 60.00°, β = 60.00°, γ = 60.00°
Fractional coordinates of all 6 atoms:
Pt1 0.874 0.375 0.375
Pt2 0.375 0.375 0.375
Pt3 0.375 0.375 0.874
Pt4 0.375 0.874 0.375
Pt5 0.750 0.750 0.750
K1 0.000 0.000 0.000

## Properties
The formation energy from the elements is 0.20 eV per atom.

=====

Entry 19:
This record from Alexandria describes a relaxed K2Pt crystal. The functional is PBE-GGA.

a = 5.490 Å, b = 5.490 Å, c = 3.107 Å
α = 90.00°, β = 90.00°, γ = 120.00°
Fractional coordinates of all 3 atoms:
Pt1 0.000 0.000 0.500
K1 0.333 0.667 0.000
K2 0.667 0.333 0.000

## Properties
The formation energy from the elements is 0.15 eV per atom.

=====

Entry 20:
This record from Alexandria describes a relaxed K2Pt crystal. The functional is PBE-GGA.

a = 5.807 Å, b = 5.807 Å, c = 5.807 Å
α = 136.27°, β = 136.27°, γ = 63.56°
Fractional coordinates of all 3 atoms:
Pt1 0.500 0.500 0.000
K1 0.847 0.847 0.000
K2 0.153 0.153 0.000

## Properties
The formation energy from the elements is 0.09 eV per atom.